{"formula": "Sr2MnCrO6", "functional": "PBE with a Hubbard U", "state": "relaxed", "cell": [[5.508, 0.000, 0.000], [0.000, 5.508, 0.000], [0.000, 0.000, 3.871]], "species": ["Sr", "Sr", "Mn", "Cr", "O", "O", "O", "O", "O", "O"], "frac_coords": [[0.000, 0.500, 0.000], [0.500, 0.000, 0.000], [0.000, 0.000, 0.500], [0.500, 0.500, 0.500], [0.000, 0.000, 0.000], [0.248, 0.248, 0.500], [0.248, 0.752, 0.500], [0.500, 0.500, 0.000], [0.752, 0.248, 0.500], [0.752, 0.752, 0.500]], "final_energy_ev_per_atom": -6.889, "density_g_cm3": 5.35}